Computed, not measured: Li3AcHg after structural relaxation at the PBE level of DFT.

Geometry as extended XYZ:
```
10
Lattice="6.298 0.000 0.000 0.000 6.111 0.000 -0.322 0.000 6.586" Properties=species:S:1:pos:R:3 pbc="T T T"
Li 0.453 1.528 2.547
Li 1.992 3.152 4.459
Li 1.992 6.015 4.459
Li 3.983 0.097 2.127
Li 3.983 2.959 2.127
Li 5.523 4.584 4.039
Ac 0.991 4.584 1.005
Ac 4.985 1.528 5.582
Hg 2.182 1.528 0.304
Hg 3.794 4.584 6.283
```

energy of formation from the pure elements: -0.184 eV/atom
offset from the most stable computed form: 0 kJ/mol of formula units